Density functional theory data (PBE-GGA) for a relaxed structure of TiCoAg3.

Values from the calculation:
DFT formation energy, eV/atom: 1.1445
Spin magnetization, μB per formula unit: 0.00
Energy above the most stable polymorph in this dataset, meV per atom: 0

Cell: 4.693 4.693 4.693 Å, 90.00 90.00 90.00°
Space group Pm-3m (No. 221)
One atom of each set of equivalent atoms:
Ti1 0.000 0.000 0.000
Co1 0.500 0.500 0.500
Ag1 0.000 0.500 0.500